# Tm6ZnRu | Alexandria | PBE | optimized geometry
# Density of states at the Fermi level   9.51 states/eV/f.u.
# Formation energy   -184 meV/atom
# Excess energy over the best structure of this formula in the dataset   0.000 eV per atom
# Symmetry   I4/mmm
data_Tm6ZnRu
_chemical_formula_sum 'Tm6 Zn1 Ru1'
_space_group_name_H-M_alt 'P 1'
_space_group_IT_number 1
_cell_length_a 9.154
_cell_length_b 9.154
_cell_length_c 9.154
_cell_angle_alpha 148.94
_cell_angle_beta 148.94
_cell_angle_gamma 44.50
loop_
_space_group_symop_operation_xyz
'x,y,z'
loop_
_atom_site_label
_atom_site_fract_x
_atom_site_fract_y
_atom_site_fract_z
Tm1 0.098 0.598 0.500
Tm2 0.250 0.250 0.000
Tm3 0.402 0.902 0.500
Tm4 0.598 0.098 0.500
Tm5 0.750 0.750 0.000
Tm6 0.902 0.402 0.500
Zn1 0.000 0.000 0.000
Ru1 0.500 0.500 0.000